VASP calculation (PBE) on crystalline NaAcSeO at its relaxed geometry. Values from VASP.

```
&SYSTEM
  ibrav = 0, nat = 8, ntyp = 4
/
ATOMIC_SPECIES
Na 22.99 Na.upf
Ac 227.00 Ac.upf
Se 78.96 Se.upf
O 16.00 O.upf
ATOMIC_POSITIONS angstrom
Na 1.078 3.233 0.000
Na 3.233 1.078 0.000
Ac 1.078 1.078 3.730
Ac 3.233 3.233 6.224
Se 1.078 1.078 8.047
Se 3.233 3.233 1.907
O 1.078 3.233 4.977
O 3.233 1.078 4.977
CELL_PARAMETERS angstrom
4.310 0.000 0.000
0.000 4.310 0.000
0.000 0.000 9.954
```

Output
- Raw formation energy: -9.146 eV per formula unit
- Theoretical density: 6.2 g cm⁻³
- Calculated total energy: -5.754 eV/atom



VASP calculation (PBE) on crystalline Na3AcSe4O12 at its relaxed geometry. Values from VASP.

```
&SYSTEM
  ibrav = 0, nat = 20, ntyp = 4
/
ATOMIC_SPECIES
Na 22.99 Na.upf
Ac 227.00 Ac.upf
Se 78.96 Se.upf
O 16.00 O.upf
ATOMIC_POSITIONS angstrom
Na -3.292 -0.957 2.791
Na 2.475 -2.372 2.791
Na 0.817 3.330 2.791
Ac 0.000 0.000 0.000
Se -2.370 -4.104 4.187
Se 0.000 0.000 4.187
Se -2.370 4.104 4.187
Se 4.739 0.000 4.187
O -1.245 -1.519 1.596
O -5.109 0.000 4.187
O -0.693 1.838 1.596
O 1.938 -0.319 1.596
O -1.644 0.000 4.187
O 2.555 -4.425 4.187
O 0.822 -1.424 4.187
O 0.822 1.424 4.187
O -0.693 -1.838 6.778
O -1.245 1.519 6.778
O 2.555 4.425 4.187
O 1.938 0.319 6.778
CELL_PARAMETERS angstrom
5.767 3.330 2.791
-5.767 3.330 2.791
0.000 -6.659 2.791
```

Output
- Raw formation energy: -21.267 eV per formula unit
- Theoretical density: 4.2 g cm⁻³
- Calculated total energy: -5.138 eV/atom



VASP calculation (PBE) on crystalline NaAc2SeO8 at its relaxed geometry. Values from VASP.

```
&SYSTEM
  ibrav = 0, nat = 12, ntyp = 4
/
ATOMIC_SPECIES
Na 22.99 Na.upf
Ac 227.00 Ac.upf
Se 78.96 Se.upf
O 16.00 O.upf
ATOMIC_POSITIONS angstrom
Na 0.000 0.000 0.000
Ac 0.000 3.168 2.272
Ac 2.743 1.584 4.562
Se 0.000 0.000 3.417
O 0.000 1.500 4.447
O -1.444 4.001 4.447
O 1.299 0.750 2.388
O 0.000 3.168 6.793
O 2.743 1.584 0.042
O 1.444 4.001 4.447
O 4.188 0.750 2.388
O 2.743 3.252 2.388
CELL_PARAMETERS angstrom
5.486 0.000 0.000
-2.743 4.751 0.000
0.000 0.000 6.835
```

Output
- Raw formation energy: -18.617 eV per formula unit
- Theoretical density: 6.4 g cm⁻³
- Calculated total energy: -5.942 eV/atom



VASP calculation (PBE) on crystalline Na2AcSeO6 at its relaxed geometry. Values from VASP.

```
&SYSTEM
  ibrav = 0, nat = 10, ntyp = 4
/
ATOMIC_SPECIES
Na 22.99 Na.upf
Ac 227.00 Ac.upf
Se 78.96 Se.upf
O 16.00 O.upf
ATOMIC_POSITIONS angstrom
Na 0.000 0.000 3.220
Na 0.000 0.000 10.811
Ac 0.000 0.000 7.016
Se 0.000 0.000 0.000
O -2.040 0.518 5.729
O -1.469 -1.508 8.302
O 0.571 -2.026 5.729
O -0.571 2.026 8.302
O 1.469 1.508 5.729
O 2.040 -0.518 8.302
CELL_PARAMETERS angstrom
2.945 1.700 4.677
-2.945 1.700 4.677
0.000 -3.400 4.677
```

Output
- Raw formation energy: -15.480 eV per formula unit
- Theoretical density: 5.3 g cm⁻³
- Calculated total energy: -5.546 eV/atom



VASP calculation (PBE) on crystalline Na2AcSeO5 at its relaxed geometry. Values from VASP.

```
&SYSTEM
  ibrav = 0, nat = 18, ntyp = 4
/
ATOMIC_SPECIES
Na 22.99 Na.upf
Ac 227.00 Ac.upf
Se 78.96 Se.upf
O 16.00 O.upf
ATOMIC_POSITIONS angstrom
Na 4.972 1.379 0.000
Na 1.379 2.214 0.000
Na 2.214 1.379 5.165
Na -1.379 2.214 5.165
Ac 0.000 0.000 2.582
Ac 0.000 0.000 7.747
Se 3.593 0.000 2.582
Se 0.000 3.593 2.582
O 0.000 0.000 0.000
O 4.666 -1.073 1.630
O 2.520 -1.073 3.535
O 2.520 1.073 1.630
O 4.666 1.073 3.535
O 0.000 0.000 5.165
O -1.073 2.520 1.630
O 1.073 2.520 3.535
O 1.073 4.666 1.630
O -1.073 4.666 3.535
CELL_PARAMETERS angstrom
-3.593 3.593 5.165
3.593 -3.593 5.165
3.593 3.593 -5.165
```

Output
- Raw formation energy: -14.341 eV per formula unit
- Theoretical density: 5.4 g cm⁻³
- Calculated total energy: -5.485 eV/atom



VASP calculation (PBE) on crystalline Na2Ac3Se3O2 at its relaxed geometry. Values from VASP.

```
&SYSTEM
  ibrav = 0, nat = 10, ntyp = 4
/
ATOMIC_SPECIES
Na 22.99 Na.upf
Ac 227.00 Ac.upf
Se 78.96 Se.upf
O 16.00 O.upf
ATOMIC_POSITIONS angstrom
Na 2.234 0.000 6.686
Na 0.000 2.234 6.686
Ac 0.000 0.000 0.000
Ac 0.000 0.000 9.846
Ac 0.000 0.000 16.899
Se 0.000 0.000 3.172
Se 0.000 0.000 13.372
Se 0.000 0.000 23.573
O 0.000 0.000 7.681
O 0.000 0.000 19.064
CELL_PARAMETERS angstrom
-2.234 2.234 13.372
2.234 -2.234 13.372
2.234 2.234 -13.372
```

Output
- Raw formation energy: -20.261 eV per formula unit
- Theoretical density: 6.2 g cm⁻³
- Calculated total energy: -5.559 eV/atom



VASP calculation (PBE) on crystalline Na4Ac3SiO8 at its relaxed geometry. Values from VASP.

```
&SYSTEM
  ibrav = 0, nat = 16, ntyp = 4
/
ATOMIC_SPECIES
Na 22.99 Na.upf
Ac 227.00 Ac.upf
Si 28.09 Si.upf
O 16.00 O.upf
ATOMIC_POSITIONS angstrom
Na 0.000 0.000 0.000
Na 1.592 1.777 2.959
Na 1.592 -1.777 2.959
Na 6.652 0.000 0.000
Ac -1.734 0.000 2.959
Ac 3.326 1.777 0.000
Ac 3.326 -1.777 0.000
Si 4.917 0.000 2.959
O 2.014 0.000 1.080
O 0.401 0.000 4.245
O 5.235 1.257 1.749
O 4.600 1.257 4.170
O 5.235 -1.257 1.749
O 4.600 -1.257 4.170
O 9.433 0.000 1.673
O 7.821 0.000 4.839
CELL_PARAMETERS angstrom
6.652 -3.554 0.000
6.652 3.554 0.000
-3.469 0.000 5.919
```

Output
- Raw formation energy: -35.794 eV per formula unit
- Theoretical density: 5.5 g cm⁻³
- Calculated total energy: -6.155 eV/atom



VASP calculation (PBE) on crystalline Na4AcSi3O12 at its relaxed geometry. Values from VASP.

```
&SYSTEM
  ibrav = 0, nat = 20, ntyp = 4
/
ATOMIC_SPECIES
Na 22.99 Na.upf
Ac 227.00 Ac.upf
Si 28.09 Si.upf
O 16.00 O.upf
ATOMIC_POSITIONS angstrom
Na 1.986 1.986 -1.986
Na 1.986 -1.986 1.986
Na -1.986 1.986 1.986
Na 1.986 1.986 1.986
Ac 0.000 0.000 0.000
Si 3.971 0.000 0.000
Si 0.000 3.971 0.000
Si 0.000 0.000 3.971
O 2.694 0.000 1.094
O 5.249 0.000 1.094
O 3.971 2.878 -1.278
O 1.094 2.694 0.000
O 2.878 -1.278 3.971
O 0.000 1.094 2.694
O 3.971 2.878 1.278
O 1.094 5.249 0.000
O 2.878 1.278 3.971
O 0.000 1.094 5.249
O -1.278 3.971 2.878
O 1.278 3.971 2.878
CELL_PARAMETERS angstrom
-3.971 3.971 3.971
3.971 -3.971 3.971
3.971 3.971 -3.971
```

Output
- Raw formation energy: -34.539 eV per formula unit
- Theoretical density: 3.9 g cm⁻³
- Calculated total energy: -5.985 eV/atom



VASP calculation (PBE) on crystalline NaAcSiO4 at its relaxed geometry. Values from VASP.

```
&SYSTEM
  ibrav = 0, nat = 14, ntyp = 4
/
ATOMIC_SPECIES
Na 22.99 Na.upf
Ac 227.00 Ac.upf
Si 28.09 Si.upf
O 16.00 O.upf
ATOMIC_POSITIONS angstrom
Na 2.935 3.011 5.887
Na 2.935 -3.011 1.962
Ac 2.935 0.000 0.000
Ac 2.935 0.000 3.925
Si 2.935 3.284 1.962
Si 2.935 -3.284 5.887
O 1.348 0.371 5.887
O 2.935 2.392 0.591
O 2.935 2.392 3.333
O 1.348 -0.371 1.962
O 4.523 0.371 5.887
O 2.935 -2.392 4.516
O 2.935 -2.392 7.258
O 4.523 -0.371 1.962
CELL_PARAMETERS angstrom
2.935 -4.657 0.000
2.935 4.657 0.000
0.000 0.000 7.849
```

Output
- Raw formation energy: -19.976 eV per formula unit
- Theoretical density: 5.3 g cm⁻³
- Calculated total energy: -7.237 eV/atom



VASP calculation (PBE) on crystalline Na2AcSiO4 at its relaxed geometry. Values from VASP.

```
&SYSTEM
  ibrav = 0, nat = 16, ntyp = 4
/
ATOMIC_SPECIES
Na 22.99 Na.upf
Ac 227.00 Ac.upf
Si 28.09 Si.upf
O 16.00 O.upf
ATOMIC_POSITIONS angstrom
Na 0.000 0.000 0.000
Na 0.000 2.649 2.482
Na 2.649 0.000 7.445
Na 2.649 2.649 4.963
Ac 0.000 0.000 4.963
Ac 2.649 2.649 0.000
Si 0.000 2.649 7.445
Si 2.649 0.000 2.482
O 0.922 3.663 6.488
O 1.014 1.727 8.401
O 1.635 0.922 3.438
O 1.727 4.283 1.525
O 3.571 1.014 1.525
O 3.663 4.376 3.438
O 4.283 3.571 8.401
O 4.376 1.635 6.488
CELL_PARAMETERS angstrom
5.298 0.000 0.000
0.000 5.298 0.000
0.000 0.000 9.926
```

Output
- Raw formation energy: -18.571 eV per formula unit
- Theoretical density: 4.4 g cm⁻³
- Calculated total energy: -6.322 eV/atom



Question: What is the formula in the ninth record?
Answer: NaAcSiO4